The following is a DFT calculation (PBE) of a geometry-optimized BaSrLiI5 structure.

Properties
N(E_F) in states/eV/cell: 0.0
SG: C2/c
Crystal system: monoclinic
Uncorrected energy in hartree per atom: -0.118
Raw formation energy in eV/atom: -1.565

a = 8.6079 Å, b = 8.6079 Å, c = 11.3277 Å
α = 102.43°, β = 102.43°, γ = 107.85°
Last column: nearest neighbours and their distance in Å.
Element x y z (fractional)
Sr: 0.0000 0.0000 0.5000  6 I 3.25-3.36
Sr: 0.0000 0.0000 0.0000  6 I 3.25-3.36
I: 0.8854 0.1146 0.7500  2 Sr 3.25, 1 Ba 3.53
I: 0.7263 0.6007 0.4467  1 Li 2.80
I: 0.3993 0.2737 0.0533  1 Li 2.80
I: 0.3450 0.9459 0.6428  1 Li 2.75
I: 0.6007 0.7263 0.9467  1 Li 2.80
I: 0.9459 0.3450 0.1428  1 Li 2.75
I: 0.0541 0.6550 0.8572  1 Li 2.75
I: 0.1146 0.8854 0.2500  2 Sr 3.25, 1 Ba 3.53
I: 0.2737 0.3993 0.5533  1 Li 2.80
I: 0.6550 0.0541 0.3572  1 Li 2.75
Ba: 0.6315 0.3685 0.7500  5 I 3.48-3.53
Ba: 0.3685 0.6315 0.2500  5 I 3.48-3.53
Li: 0.3161 0.6839 0.7500  4 I 2.75-2.80
Li: 0.6839 0.3161 0.2500  4 I 2.75-2.80

The following is a DFT calculation (PBE) of a geometry-optimized BaLi2TaI structure.

Properties
N(E_F) in states/eV/cell: 5.3
SG: P4/mmm
Crystal system: tetragonal
Uncorrected energy in hartree per atom: -0.086
Raw formation energy in eV/atom: 1.485

a = 6.2448 Å, b = 6.2473 Å, c = 6.2448 Å
α = 90.00°, β = 90.00°, γ = 90.00°
Last column: nearest neighbours and their distance in Å.
Element x y z (fractional)
I: 0.0000 0.5000 0.0000  2 Ba 3.12
Li: 0.5000 0.0000 0.0000  2 Ba 3.12
Li: 0.0000 0.0000 0.5000  2 Ba 3.12
Ba: 0.0000 0.0000 0.0000  4 Li 3.12, 2 I 3.12
Ta: 0.5000 0.5000 0.5000  4 I 4.42, 8 Li 4.42

The following is a DFT calculation (PBE) of a geometry-optimized BaLiTbI6 structure.

Properties
N(E_F) in states/eV/cell: 0.0
SG: P-31c
Crystal system: trigonal
Uncorrected energy in hartree per atom: -0.126
Raw formation energy in eV/atom: -1.455

a = 7.8476 Å, b = 7.8476 Å, c = 15.0003 Å
α = 90.00°, β = 90.00°, γ = 120.00°
Last column: nearest neighbours and their distance in Å.
Element x y z (fractional)
I: 0.0023 0.6369 0.3655  1 Li 3.03, 1 Tb 3.06
I: 0.3654 0.3631 0.8655  1 Li 3.03, 1 Tb 3.06
I: 0.6346 0.6369 0.1345  1 Li 3.03, 1 Tb 3.06
I: 0.3631 0.3654 0.3655  1 Li 3.03, 1 Tb 3.06
I: 0.6369 0.6346 0.6345  1 Li 3.03, 1 Tb 3.06
I: 0.9977 0.3631 0.6345  1 Li 3.03, 1 Tb 3.06
I: 0.6369 0.0023 0.8655  1 Li 3.03, 1 Tb 3.06
I: 0.0023 0.3654 0.1345  1 Li 3.03, 1 Tb 3.06
I: 0.3654 0.0023 0.6345  1 Li 3.03, 1 Tb 3.06
I: 0.6346 0.9977 0.3655  1 Li 3.03, 1 Tb 3.06
I: 0.3631 0.9977 0.1345  1 Li 3.03, 1 Tb 3.06
I: 0.9977 0.6346 0.8655  1 Li 3.03, 1 Tb 3.06
Li: 0.6667 0.3333 0.7500  6 I 3.03
Li: 0.3333 0.6667 0.2500  6 I 3.03
Ba: 0.0000 0.0000 0.5000  6 I 3.50
Ba: 0.0000 0.0000 0.0000  6 I 3.50
Tb: 0.3333 0.6667 0.7500  6 I 3.06
Tb: 0.6667 0.3333 0.2500  6 I 3.06